! PBE CaVH, relaxed; values from VASP
! Space group = No. 6
! Final energy = -4.6648 eV/atom
&SYSTEM
  ibrav = 0, nat = 6, ntyp = 3
/
ATOMIC_SPECIES
Ca 40.08 Ca.upf
V 50.94 V.upf
H 1.01 H.upf
ATOMIC_POSITIONS crystal
Ca 0.000 0.000 0.000
Ca 0.328 0.500 0.667
V 0.665 0.238 0.334
V 0.665 0.762 0.334
H 0.466 0.000 0.472
H 0.858 0.500 0.195
CELL_PARAMETERS angstrom
5.430 0.000 0.000
0.000 4.192 0.000
-2.626 0.000 4.766

***

! PBE Ho2BeAl2Ni5, relaxed; values from VASP
! Energy relative to the elements = -0.299 eV per atom
! Space group = No. 127
&SYSTEM
  ibrav = 0, nat = 20, ntyp = 4
/
ATOMIC_SPECIES
Ho 164.93 Ho.upf
Be 9.01 Be.upf
Al 26.98 Al.upf
Ni 58.69 Ni.upf
ATOMIC_POSITIONS crystal
Ho 0.171 0.329 0.000
Ho 0.329 0.829 0.000
Ho 0.671 0.171 0.000
Ho 0.829 0.671 0.000
Be 0.000 0.000 0.000
Be 0.500 0.500 0.000
Al 0.133 0.633 0.000
Al 0.367 0.133 0.000
Al 0.633 0.867 0.000
Al 0.867 0.367 0.000
Ni 0.000 0.500 0.500
Ni 0.051 0.820 0.500
Ni 0.180 0.051 0.500
Ni 0.320 0.551 0.500
Ni 0.449 0.320 0.500
Ni 0.500 0.000 0.500
Ni 0.551 0.680 0.500
Ni 0.680 0.449 0.500
Ni 0.820 0.949 0.500
Ni 0.949 0.180 0.500
CELL_PARAMETERS angstrom
9.980 0.000 0.000
0.000 9.980 0.000
0.000 0.000 2.892

***

! PBE ScTlOs2, relaxed; values from VASP
! Energy relative to the elements = 0.436 eV per atom
! Space group = No. 123
&SYSTEM
  ibrav = 0, nat = 4, ntyp = 3
/
ATOMIC_SPECIES
Sc 44.96 Sc.upf
Tl 204.38 Tl.upf
Os 190.23 Os.upf
ATOMIC_POSITIONS crystal
Sc 0.000 0.000 0.000
Tl 0.000 0.000 0.500
Os 0.500 0.500 0.239
Os 0.500 0.500 0.761
CELL_PARAMETERS angstrom
3.337 0.000 0.000
0.000 3.337 0.000
0.000 0.000 6.267

***

! PBE La5TbSb6, relaxed; values from VASP
! Space group = No. 12
! Formation energy (no corrections) = -28.83 kcal/mol of atoms
&SYSTEM
  ibrav = 0, nat = 12, ntyp = 3
/
ATOMIC_SPECIES
La 138.91 La.upf
Tb 158.93 Tb.upf
Sb 121.76 Sb.upf
ATOMIC_POSITIONS crystal
La 0.000 0.000 0.000
La 0.166 0.834 0.500
La 0.331 0.669 0.000
La 0.669 0.331 0.000
La 0.834 0.166 0.500
Tb 0.500 0.500 0.500
Sb 0.092 0.418 0.255
Sb 0.256 0.256 0.747
Sb 0.418 0.092 0.255
Sb 0.582 0.908 0.745
Sb 0.744 0.744 0.253
Sb 0.908 0.582 0.745
CELL_PARAMETERS angstrom
3.976 -6.886 0.000
3.976 6.886 0.000
-2.655 0.000 7.496

***

! PBE BiPd2Pb, relaxed; values from VASP
! Energy relative to the elements = -0.200 eV per atom
! Space group = No. 123
&SYSTEM
  ibrav = 0, nat = 4, ntyp = 3
/
ATOMIC_SPECIES
Bi 208.98 Bi.upf
Pd 106.42 Pd.upf
Pb 207.20 Pb.upf
ATOMIC_POSITIONS crystal
Bi 0.000 0.000 0.000
Pd 0.000 0.500 0.500
Pd 0.500 0.000 0.500
Pb 0.500 0.500 0.000
CELL_PARAMETERS angstrom
4.940 0.000 0.000
0.000 4.940 0.000
0.000 0.000 3.508

***

! PBE Tb2Dy3YEr6, relaxed; values from VASP
! Energy relative to the elements = 0.020 eV per atom
! Space group = No. 12
&SYSTEM
  ibrav = 0, nat = 12, ntyp = 4
/
ATOMIC_SPECIES
Tb 158.93 Tb.upf
Dy 162.50 Dy.upf
Y 88.91 Y.upf
Er 167.26 Er.upf
ATOMIC_POSITIONS crystal
Tb 0.167 0.833 0.000
Tb 0.833 0.167 0.000
Dy 0.000 0.000 0.500
Dy 0.333 0.667 0.500
Dy 0.667 0.333 0.500
Y 0.500 0.500 0.000
Er 0.082 0.416 0.749
Er 0.250 0.250 0.251
Er 0.416 0.082 0.749
Er 0.584 0.918 0.251
Er 0.750 0.750 0.749
Er 0.918 0.584 0.251
CELL_PARAMETERS angstrom
3.059 -5.292 0.000
3.059 5.292 0.000
-2.029 0.000 11.512

***

! PBE LiCaSmRh, relaxed; values from VASP
! Energy relative to the elements = -0.316 eV per atom
! Space group = No. 216
&SYSTEM
  ibrav = 0, nat = 4, ntyp = 4
/
ATOMIC_SPECIES
Li 6.94 Li.upf
Ca 40.08 Ca.upf
Sm 150.36 Sm.upf
Rh 102.91 Rh.upf
ATOMIC_POSITIONS crystal
Li 0.000 0.000 0.000
Ca 0.250 0.250 0.250
Sm 0.750 0.750 0.750
Rh 0.500 0.500 0.500
CELL_PARAMETERS angstrom
0.000 3.554 3.554
3.554 0.000 3.554
3.554 3.554 0.000

***

! PBE Ca2AlAsBr, relaxed; values from VASP
! Space group = No. 123
! Formation energy (no corrections) = -2.62 kcal/mol of atoms
&SYSTEM
  ibrav = 0, nat = 5, ntyp = 4
/
ATOMIC_SPECIES
Ca 40.08 Ca.upf
Al 26.98 Al.upf
As 74.92 As.upf
Br 79.90 Br.upf
ATOMIC_POSITIONS crystal
Ca 0.000 0.500 0.000
Ca 0.500 0.000 0.000
Al 0.000 0.000 0.500
As 0.500 0.500 0.500
Br 0.000 0.000 0.000
CELL_PARAMETERS angstrom
5.484 0.000 0.000
0.000 5.484 0.000
0.000 0.000 5.063

***

! PBE HoEr3Sn, relaxed; values from VASP
! Energy relative to the elements = -0.271 eV per atom
! Space group = No. 2
&SYSTEM
  ibrav = 0, nat = 10, ntyp = 3
/
ATOMIC_SPECIES
Ho 164.93 Ho.upf
Er 167.26 Er.upf
Sn 118.71 Sn.upf
ATOMIC_POSITIONS crystal
Ho 0.000 0.000 0.000
Ho 0.000 0.500 0.000
Er 0.166 0.287 0.594
Er 0.390 0.096 0.212
Er 0.420 0.601 0.208
Er 0.580 0.399 0.792
Er 0.610 0.904 0.788
Er 0.834 0.713 0.406
Sn 0.233 0.776 0.609
Sn 0.767 0.224 0.391
CELL_PARAMETERS angstrom
5.982 0.000 0.000
1.444 6.594 0.000
2.135 1.065 7.245

***

! PBE Ni2MoAu, relaxed; values from VASP
! Energy relative to the elements = 0.209 eV per atom
! Space group = No. 65
&SYSTEM
  ibrav = 0, nat = 4, ntyp = 3
/
ATOMIC_SPECIES
Ni 58.69 Ni.upf
Mo 95.94 Mo.upf
Au 196.97 Au.upf
ATOMIC_POSITIONS crystal
Ni 0.000 0.500 0.000
Ni 0.500 0.000 0.000
Mo 0.000 0.000 0.500
Au 0.500 0.500 0.500
CELL_PARAMETERS angstrom
2.796 -3.659 0.000
2.796 3.659 0.000
0.000 0.000 2.712

***

! PBE CsKRb2Bi, relaxed; values from VASP
! Energy relative to the elements = -0.161 eV per atom
! Space group = No. 123
&SYSTEM
  ibrav = 0, nat = 5, ntyp = 4
/
ATOMIC_SPECIES
Cs 132.91 Cs.upf
K 39.10 K.upf
Rb 85.47 Rb.upf
Bi 208.98 Bi.upf
ATOMIC_POSITIONS crystal
Cs 0.000 0.000 0.000
K 0.500 0.500 0.000
Rb 0.000 0.500 0.500
Rb 0.500 0.000 0.500
Bi 0.500 0.500 0.500
CELL_PARAMETERS angstrom
7.373 0.000 0.000
0.000 7.373 0.000
0.000 0.000 7.036

***

! PBE Zr3AgP, relaxed; values from VASP
! Energy relative to the elements = 0.993 eV per atom
! Space group = No. 221
&SYSTEM
  ibrav = 0, nat = 5, ntyp = 3
/
ATOMIC_SPECIES
Zr 91.22 Zr.upf
Ag 107.87 Ag.upf
P 30.97 P.upf
ATOMIC_POSITIONS crystal
Zr 0.000 0.000 0.500
Zr 0.000 0.500 0.000
Zr 0.500 0.000 0.000
Ag 0.000 0.000 0.000
P 0.500 0.500 0.500
CELL_PARAMETERS angstrom
5.100 0.000 0.000
0.000 5.100 0.000
0.000 0.000 5.100